K2TlCd9: relaxed, PBE.

a = 10.5411 Å, b = 10.5411 Å, c = 10.5411 Å
α = 34.64°, β = 34.64°, γ = 34.64°
Fractional positions:
K: 0.1416 0.1416 0.1416
K: 0.8584 0.8584 0.8584
Tl: 0.0000 0.0000 0.0000
Cd: 0.0773 0.5847 0.5847
Cd: 0.3344 0.3344 0.3344
Cd: 0.4153 0.4153 0.9227
Cd: 0.4153 0.9227 0.4153
Cd: 0.5000 0.5000 0.5000
Cd: 0.5847 0.0773 0.5847
Cd: 0.5847 0.5847 0.0773
Cd: 0.6656 0.6656 0.6656
Cd: 0.9227 0.4153 0.4153

Output
D(E_F): 5.7 states/eV/cell
Spin magnetization: 0.00 μB per cell
DFT formation energy: -0.03 eV/atom

---

Ce3Ir: relaxed, PBE.

a = 11.7737 Å, b = 11.7737 Å, c = 5.7609 Å
α = 90.00°, β = 90.00°, γ = 90.00°
Fractional positions:
Ce: 0.0414 0.5865 0.2251
Ce: 0.0865 0.9586 0.7251
Ce: 0.1133 0.1919 0.4973
Ce: 0.1202 0.6657 0.8006
Ce: 0.1657 0.8798 0.3006
Ce: 0.1919 0.3867 0.0027
Ce: 0.3081 0.1133 0.0027
Ce: 0.3343 0.6202 0.3006
Ce: 0.3798 0.8343 0.8006
Ce: 0.3867 0.3081 0.4973
Ce: 0.4135 0.5414 0.7251
Ce: 0.4586 0.9135 0.2251
Ce: 0.5414 0.0865 0.7749
Ce: 0.5865 0.4586 0.2749
Ce: 0.6133 0.6919 0.5027
Ce: 0.6202 0.1657 0.1994
Ce: 0.6657 0.3798 0.6994
Ce: 0.6919 0.8867 0.9973
Ce: 0.8081 0.6133 0.9973
Ce: 0.8343 0.1202 0.6994
Ce: 0.8798 0.3343 0.1994
Ce: 0.8867 0.8081 0.5027
Ce: 0.9135 0.0414 0.2749
Ce: 0.9586 0.4135 0.7749
Ir: 0.0662 0.1734 0.9973
Ir: 0.1734 0.4338 0.5027
Ir: 0.3266 0.0662 0.5027
Ir: 0.4338 0.3266 0.9973
Ir: 0.5662 0.6734 0.0027
Ir: 0.6734 0.9338 0.4973
Ir: 0.8266 0.5662 0.4973
Ir: 0.9338 0.8266 0.0027

Output
D(E_F): 85.4 states/eV/cell
Spin magnetization: 5.67 μB per cell
DFT formation energy: -0.38 eV/atom

---

Hg2Sb: relaxed, PBE.

a = 9.5242 Å, b = 9.5242 Å, c = 9.5242 Å
α = 161.55°, β = 161.55°, γ = 26.21°
Fractional positions:
Hg: 0.1680 0.1680 0.0000
Hg: 0.8320 0.8320 0.0000
Sb: 0.5000 0.5000 0.0000

Output
Energy above the most stable polymorph in this dataset: 0.041 eV/atom
D(E_F): 1.4 states/eV/cell
Formation energy from raw total energies: 138 meV/atom
Spin magnetization: 0.00 μB per cell

---

Question: Which value of spin magnetization does entry 2 give?
Answer: 5.67 μB per cell